{
  "formula": "NaTlC",
  "functional": "PBE-GGA",
  "state": "optimized geometry",
  "space_group": "No. 160",
  "dft_energy_ev_per_atom": -3.97,
  "lattice_angstrom": [[-4.780, -2.029, 9.578], [-4.015, -1.184, -0.410], [3.094, -2.711, -0.874]],
  "species": ["Na", "Na", "Tl", "Tl", "C", "C"],
  "fractional_positions": [[0.569, 0.896, 0.104], [0.826, 0.058, 0.942], [0.320, 0.728, 0.272], [0.109, 0.536, 0.464], [0.712, 0.467, 0.533], [0.582, 0.554, 0.446]]
}